Entry 1:
Material: TbDyAl4Fe2
Method: DFT, PBE
State: optimized geometry

Results
ρ ... 6.24 g cm⁻³
Symmetry ... No. 38
VASP energy ... -43.70 eV per cell

a = 7.050 Å, b = 5.438 Å, c = 5.438 Å
α = 43.65°, β = 90.00°, γ = 90.00°
Positions (direct):
Tb1 0.000 0.000 0.000
Dy1 0.500 0.876 0.876
Al1 0.194 0.281 0.281
Al2 0.307 0.595 0.595
Al3 0.693 0.595 0.595
Al4 0.806 0.281 0.281
Fe1 0.000 0.725 0.725
Fe2 0.500 0.152 0.152

Entry 2:
Material: RbSmNiTe3
Method: DFT, PBE
State: optimized geometry

Results
ρ ... 5.30 g cm⁻³
Symmetry ... No. 62
VASP energy ... -104.61 eV per cell

a = 16.761 Å, b = 4.367 Å, c = 11.598 Å
α = 90.00°, β = 90.00°, γ = 90.00°
Positions (direct):
Rb1 0.228 0.250 0.020
Rb2 0.272 0.750 0.520
Rb3 0.728 0.250 0.480
Rb4 0.772 0.750 0.980
Sm1 0.023 0.250 0.344
Sm2 0.477 0.750 0.844
Sm3 0.523 0.250 0.156
Sm4 0.977 0.750 0.656
Ni1 0.014 0.750 0.112
Ni2 0.486 0.250 0.612
Ni3 0.514 0.750 0.388
Ni4 0.986 0.250 0.888
Te1 0.063 0.750 0.905
Te2 0.103 0.250 0.584
Te3 0.136 0.750 0.243
Te4 0.364 0.250 0.743
Te5 0.397 0.750 0.084
Te6 0.437 0.250 0.405
Te7 0.563 0.750 0.595
Te8 0.603 0.250 0.916
Te9 0.636 0.750 0.257
Te10 0.864 0.250 0.757
Te11 0.897 0.750 0.416
Te12 0.937 0.250 0.095

Entry 3:
Material: KDySO
Method: DFT, PBE
State: optimized geometry

Results
Energy above the most stable polymorph in this dataset ... 0 meV per atom
ρ ... 4.82 g cm⁻³
Symmetry ... No. 14
VASP energy ... -96.34 eV per cell

a = 7.539 Å, b = 7.337 Å, c = 6.427 Å
α = 90.00°, β = 104.64°, γ = 90.00°
Positions (direct):
K1 0.084 0.246 0.011
K2 0.084 0.254 0.511
K3 0.916 0.746 0.489
K4 0.916 0.754 0.989
Dy1 0.473 0.626 0.270
Dy2 0.473 0.874 0.770
Dy3 0.527 0.126 0.230
Dy4 0.527 0.374 0.730
S1 0.250 0.591 0.843
S2 0.250 0.909 0.343
S3 0.750 0.091 0.657
S4 0.750 0.409 0.157
O1 0.392 0.147 0.877
O2 0.392 0.353 0.377
O3 0.608 0.647 0.623
O4 0.608 0.853 0.123

Entry 4:
Material: ErGaCo
Method: DFT, PBE
State: optimized geometry

Results
ρ ... 9.45 g cm⁻³
Symmetry ... No. 62
VASP energy ... -64.71 eV per cell

a = 6.701 Å, b = 4.239 Å, c = 7.320 Å
α = 90.00°, β = 90.00°, γ = 90.00°
Positions (direct):
Er1 0.017 0.250 0.192
Er2 0.483 0.750 0.692
Er3 0.517 0.250 0.308
Er4 0.983 0.750 0.808
Ga1 0.172 0.250 0.577
Ga2 0.328 0.750 0.077
Ga3 0.672 0.250 0.923
Ga4 0.828 0.750 0.423
Co1 0.212 0.750 0.401
Co2 0.288 0.250 0.901
Co3 0.712 0.750 0.099
Co4 0.788 0.250 0.599

Entry 5:
Material: U3Co
Method: DFT, PBE
State: optimized geometry

Results
ρ ... 17.60 g cm⁻³
Symmetry ... No. 194
E_form ... 0.252 eV per atom
VASP energy ... -79.98 eV per cell

a = 6.128 Å, b = 6.128 Å, c = 4.486 Å
α = 90.00°, β = 90.00°, γ = 120.00°
Positions (direct):
U1 0.181 0.362 0.250
U2 0.181 0.819 0.250
U3 0.362 0.181 0.750
U4 0.638 0.819 0.250
U5 0.819 0.181 0.750
U6 0.819 0.638 0.750
Co1 0.333 0.667 0.750
Co2 0.667 0.333 0.250

Entry 6:
Material: LiSmGe
Method: DFT, PBE
State: optimized geometry

Results
ρ ... 6.01 g cm⁻³
Symmetry ... No. 62
VASP energy ... -53.20 eV per cell

a = 7.313 Å, b = 4.380 Å, c = 7.932 Å
α = 90.00°, β = 90.00°, γ = 90.00°
Positions (direct):
Li1 0.163 0.250 0.071
Li2 0.337 0.750 0.571
Li3 0.663 0.250 0.429
Li4 0.837 0.750 0.929
Sm1 0.014 0.250 0.707
Sm2 0.486 0.750 0.207
Sm3 0.514 0.250 0.793
Sm4 0.986 0.750 0.293
Ge1 0.234 0.750 0.899
Ge2 0.266 0.250 0.399
Ge3 0.734 0.750 0.601
Ge4 0.766 0.250 0.101

Entry 7:
Material: NaPmSc
Method: DFT, PBE
State: optimized geometry

Results
Energy above the most stable polymorph in this dataset ... 204 meV per atom
ρ ... 3.36 g cm⁻³
Symmetry ... No. 216
VASP energy ... -9.25 eV per cell

a = 5.301 Å, b = 5.301 Å, c = 5.301 Å
α = 60.00°, β = 60.00°, γ = 60.00°
Positions (direct):
Na1 0.000 0.000 0.000
Pm1 0.250 0.250 0.250
Sc1 0.500 0.500 0.500

Entry 8:
Material: CsPmSm
Method: DFT, PBE
State: optimized geometry

Results
ρ ... 4.36 g cm⁻³
Symmetry ... No. 216
VASP energy ... -6.69 eV per cell

a = 6.132 Å, b = 6.132 Å, c = 6.132 Å
α = 60.00°, β = 60.00°, γ = 60.00°
Positions (direct):
Cs1 0.000 0.000 0.000
Pm1 0.250 0.250 0.250
Sm1 0.500 0.500 0.500

Entry 9:
Material: CdSiAg2Te3Se
Method: DFT, PBE
State: optimized geometry

Results
ρ ... 5.53 g cm⁻³
Symmetry ... No. 8
VASP energy ... -26.65 eV per cell

a = 6.257 Å, b = 6.257 Å, c = 7.626 Å
α = 113.52°, β = 113.52°, γ = 90.73°
Positions (direct):
Cd1 0.000 0.000 0.000
Si1 0.516 0.516 0.000
Ag1 0.276 0.749 0.519
Ag2 0.749 0.276 0.519
Te1 0.161 0.161 0.754
Te2 0.403 0.858 0.248
Te3 0.858 0.403 0.248
Se1 0.619 0.619 0.777

Entry 10:
Material: Na3GdCl
Method: DFT, PBE
State: optimized geometry

Results
ρ ... 2.67 g cm⁻³
Symmetry ... No. 221
VASP energy ... -11.23 eV per cell

a = 5.459 Å, b = 5.459 Å, c = 5.459 Å
α = 90.00°, β = 90.00°, γ = 90.00°
Positions (direct):
Na1 0.000 0.000 0.500
Na2 0.000 0.500 0.000
Na3 0.500 0.000 0.000
Gd1 0.500 0.500 0.500
Cl1 0.000 0.000 0.000

Entry 11:
Material: Pr2CuSb4W
Method: DFT, PBE
State: optimized geometry

Results
ρ ... 8.43 g cm⁻³
Symmetry ... No. 115
VASP energy ... -45.68 eV per cell

a = 4.308 Å, b = 4.308 Å, c = 10.790 Å
α = 90.00°, β = 90.00°, γ = 90.00°
Positions (direct):
Pr1 0.000 0.500 0.235
Pr2 0.500 0.000 0.765
Cu1 0.500 0.500 0.500
Sb1 0.000 0.000 0.000
Sb2 0.000 0.500 0.656
Sb3 0.500 0.000 0.344
Sb4 0.500 0.500 0.000
W1 0.000 0.000 0.500

Entry 12:
Material: Tb2Sn6Pd
Method: DFT, PBE
State: optimized geometry

Results
ρ ... 8.29 g cm⁻³
Symmetry ... No. 65
VASP energy ... -43.33 eV per cell

a = 11.735 Å, b = 11.735 Å, c = 4.476 Å
α = 90.00°, β = 90.00°, γ = 158.32°
Positions (direct):
Tb1 0.179 0.821 0.000
Tb2 0.821 0.179 0.000
Sn1 0.074 0.926 0.500
Sn2 0.294 0.706 0.500
Sn3 0.427 0.573 0.000
Sn4 0.573 0.427 0.000
Sn5 0.706 0.294 0.500
Sn6 0.926 0.074 0.500
Pd1 0.500 0.500 0.500

Question: What is the formula in the second record?
Answer: RbSmNiTe3

Repeat the seventh record exactly.
Material: NaPmSc
Method: DFT, PBE
State: optimized geometry

Results
Energy above the most stable polymorph in this dataset ... 204 meV per atom
ρ ... 3.36 g cm⁻³
Symmetry ... No. 216
VASP energy ... -9.25 eV per cell

a = 5.301 Å, b = 5.301 Å, c = 5.301 Å
α = 60.00°, β = 60.00°, γ = 60.00°
Positions (direct):
Na1 0.000 0.000 0.000
Pm1 0.250 0.250 0.250
Sc1 0.500 0.500 0.500

Question: What is the VASP energy in the first record?
Answer: -43.70 eV per cell